[1]
Here is a relaxed structure of NaPuTeO2 from Alexandria. Energies are from PBE.

Summary:
The value obtained for the density of states at the Fermi level is 5.9 states/eV/f.u. The calculation puts the formation energy (no corrections) at -1924 meV/atom. As for the space-group type: No. 107.

```
data_NaPuTeO2
_space_group_name_H-M_alt 'P 1'
_space_group_IT_number 1
_space_group_name_Hall 'P 1'
_cell_length_a 7.2118
_cell_length_b 7.2118
_cell_length_c 7.2118
_cell_angle_alpha 149.07
_cell_angle_beta 149.07
_cell_angle_gamma 44.31
loop_
_atom_site_label
_atom_site_fract_x
_atom_site_fract_y
_atom_site_fract_z
Na1 0.0000 0.0000 0.0000
Pu1 0.3291 0.3291 0.0000
Te1 0.6716 0.6716 0.0000
O1 0.3964 0.8964 0.5000
O2 0.8964 0.3964 0.5000
```



[2]
Here is a relaxed structure of SrGaP2O8 from Alexandria. Energies are from PBE.

Summary:
The value obtained for the density of states at the Fermi level is 6.0 states/eV/f.u. The calculation puts the formation energy (no corrections) at -2228 meV/atom. As for the space-group type: No. 147.

```
data_SrGaP2O8
_space_group_name_H-M_alt 'P 1'
_space_group_IT_number 1
_space_group_name_Hall 'P 1'
_cell_length_a 5.0277
_cell_length_b 5.0277
_cell_length_c 7.1284
_cell_angle_alpha 90.00
_cell_angle_beta 90.00
_cell_angle_gamma 120.00
loop_
_atom_site_label
_atom_site_fract_x
_atom_site_fract_y
_atom_site_fract_z
Sr1 0.0000 0.0000 0.0000
Ga1 0.0000 0.0000 0.5000
P1 0.3333 0.6667 0.7344
P2 0.6667 0.3333 0.2656
O1 0.0898 0.3399 0.6727
O2 0.2501 0.9102 0.6727
O3 0.3333 0.6667 0.9525
O4 0.3399 0.2501 0.3273
O5 0.6601 0.7499 0.6727
O6 0.6667 0.3333 0.0475
O7 0.7499 0.0898 0.3273
O8 0.9102 0.6601 0.3273
```



[3]
Here is a relaxed structure of InTcNi2 from Alexandria. Energies are from PBE.

Summary:
The value obtained for the density of states at the Fermi level is 5.0 states/eV/f.u. As for the space-group type: No. 65. The calculation puts the formation energy at 0.163 eV per atom.

```
data_InTcNi2
_space_group_name_H-M_alt 'P 1'
_space_group_IT_number 1
_space_group_name_Hall 'P 1'
_cell_length_a 4.5810
_cell_length_b 4.5810
_cell_length_c 2.7462
_cell_angle_alpha 90.00
_cell_angle_beta 90.00
_cell_angle_gamma 102.97
loop_
_atom_site_label
_atom_site_fract_x
_atom_site_fract_y
_atom_site_fract_z
In1 0.0000 0.0000 0.0000
Tc1 0.5000 0.5000 0.0000
Ni1 0.0000 0.5000 0.5000
Ni2 0.5000 0.0000 0.5000
```



[4]
Here is a relaxed structure of MnFeCl2 from Alexandria. Energies are from PBE.

Summary:
The polymorph energy (0 for the lowest one) comes out at 464 meV/atom. The value obtained for the density of states at the Fermi level is 2.5 states/eV/f.u. The calculation puts the formation energy (no corrections) at 103 meV/atom. As for the space-group type: No. 12.

```
data_MnFeCl2
_space_group_name_H-M_alt 'P 1'
_space_group_IT_number 1
_space_group_name_Hall 'P 1'
_cell_length_a 4.9851
_cell_length_b 4.9851
_cell_length_c 3.3578
_cell_angle_alpha 106.86
_cell_angle_beta 106.86
_cell_angle_gamma 104.21
loop_
_atom_site_label
_atom_site_fract_x
_atom_site_fract_y
_atom_site_fract_z
Mn1 0.0000 0.0000 0.0000
Fe1 0.5000 0.5000 0.0000
Cl1 0.0000 0.5000 0.0000
Cl2 0.5000 0.0000 0.0000
```



[5]
Here is a relaxed structure of SrCr2W from Alexandria. Energies are from PBE.

Summary:
The polymorph energy (0 for the lowest one) comes out at 365 meV/atom. The value obtained for the density of states at the Fermi level is 3.8 states/eV/f.u. As for the space-group type: No. 166. The calculation puts the formation energy at 1.044 eV per atom.

```
data_SrCr2W
_space_group_name_H-M_alt 'P 1'
_space_group_IT_number 1
_space_group_name_Hall 'P 1'
_cell_length_a 9.3498
_cell_length_b 9.3498
_cell_length_c 9.3498
_cell_angle_alpha 19.31
_cell_angle_beta 19.31
_cell_angle_gamma 19.31
loop_
_atom_site_label
_atom_site_fract_x
_atom_site_fract_y
_atom_site_fract_z
Sr1 0.0000 0.0000 0.0000
Cr1 0.2329 0.2329 0.2329
Cr2 0.7671 0.7671 0.7671
W1 0.5000 0.5000 0.5000
```



[6]
Here is a relaxed structure of CuHAu2S from Alexandria. Energies are from PBE.

Summary:
The value obtained for the density of states at the Fermi level is 1.6 states/eV/f.u. The total energy is -13.548 eV for the cell shown. As for the space-group type: No. 123.

```
data_CuHAu2S
_space_group_name_H-M_alt 'P 1'
_space_group_IT_number 1
_space_group_name_Hall 'P 1'
_cell_length_a 4.9613
_cell_length_b 4.9613
_cell_length_c 4.2479
_cell_angle_alpha 90.00
_cell_angle_beta 90.00
_cell_angle_gamma 90.00
loop_
_atom_site_label
_atom_site_fract_x
_atom_site_fract_y
_atom_site_fract_z
Cu1 0.0000 0.0000 0.0000
H1 0.5000 0.5000 0.5000
Au1 0.0000 0.5000 0.0000
Au2 0.5000 0.0000 0.0000
S1 0.0000 0.0000 0.5000
```



[7]
Here is a relaxed structure of CsAcTeO6 from Alexandria. Energies are from PBE.

Summary:
The value obtained for the density of states at the Fermi level is 4.7 states/eV/f.u. The calculation puts the formation energy (no corrections) at -1507 meV/atom. As for the space-group type: No. 149.

```
data_CsAcTeO6
_space_group_name_H-M_alt 'P 1'
_space_group_IT_number 1
_space_group_name_Hall 'P 1'
_cell_length_a 6.1787
_cell_length_b 6.1787
_cell_length_c 6.3434
_cell_angle_alpha 90.00
_cell_angle_beta 90.00
_cell_angle_gamma 120.00
loop_
_atom_site_label
_atom_site_fract_x
_atom_site_fract_y
_atom_site_fract_z
Cs1 0.0000 0.0000 0.0000
Ac1 0.3333 0.6667 0.5000
Te1 0.6667 0.3333 0.5000
O1 0.4178 0.0655 0.6745
O2 0.4178 0.3523 0.3255
O3 0.6477 0.0655 0.3255
O4 0.6477 0.5822 0.6745
O5 0.9345 0.3523 0.6745
O6 0.9345 0.5822 0.3255
```



[8]
Here is a relaxed structure of Nd4OsRh from Alexandria. Energies are from PBE.

Summary:
The polymorph energy (0 for the lowest one) comes out at 33 meV/atom. The value obtained for the density of states at the Fermi level is 2.9 states/eV/f.u. As for the space-group type: No. 2. The calculation puts the formation energy at -0.274 eV per atom.

```
data_Nd4OsRh
_space_group_name_H-M_alt 'P 1'
_space_group_IT_number 1
_space_group_name_Hall 'P 1'
_cell_length_a 7.0024
_cell_length_b 7.0026
_cell_length_c 8.5433
_cell_angle_alpha 113.61
_cell_angle_beta 113.99
_cell_angle_gamma 90.87
loop_
_atom_site_label
_atom_site_fract_x
_atom_site_fract_y
_atom_site_fract_z
Nd1 0.0013 0.2460 0.4985
Nd2 0.2463 0.5017 0.9990
Nd3 0.2473 0.0028 0.0011
Nd4 0.4973 0.7526 0.4986
Nd5 0.5027 0.2474 0.5014
Nd6 0.7527 0.9972 0.9989
Nd7 0.7537 0.4983 0.0010
Nd8 0.9987 0.7540 0.5015
Os1 0.1248 0.8748 0.2499
Os2 0.8752 0.1252 0.7501
Rh1 0.3750 0.6250 0.7498
Rh2 0.6250 0.3750 0.2502
```



[9]
Here is a relaxed structure of Ce6Sb5H from Alexandria. Energies are from PBE.

Summary:
The value obtained for the density of states at the Fermi level is 38.0 states/eV/f.u. The total energy is -69.356 eV for the cell shown. As for the space-group type: No. 12.

```
data_Ce6Sb5H
_space_group_name_H-M_alt 'P 1'
_space_group_IT_number 1
_space_group_name_Hall 'P 1'
_cell_length_a 7.6594
_cell_length_b 7.6594
_cell_length_c 7.6853
_cell_angle_alpha 99.69
_cell_angle_beta 99.69
_cell_angle_gamma 119.88
loop_
_atom_site_label
_atom_site_fract_x
_atom_site_fract_y
_atom_site_fract_z
Ce1 0.0795 0.4033 0.2417
Ce2 0.2422 0.2422 0.7476
Ce3 0.4033 0.0795 0.2417
Ce4 0.5967 0.9205 0.7583
Ce5 0.7578 0.7578 0.2524
Ce6 0.9205 0.5967 0.7583
Sb1 0.1730 0.8270 0.5000
Sb2 0.3350 0.6650 0.0000
Sb3 0.5000 0.5000 0.5000
Sb4 0.6650 0.3350 0.0000
Sb5 0.8270 0.1730 0.5000
H1 0.0000 0.0000 0.0000
```



[10]
Here is a relaxed structure of SmGa2Ni5Sn from Alexandria. Energies are from PBE.

Summary:
The value obtained for the density of states at the Fermi level is 7.3 states/eV/f.u. As for the space-group type: No. 123. The calculation puts the formation energy at -0.095 eV per atom.

```
data_SmGa2Ni5Sn
_space_group_name_H-M_alt 'P 1'
_space_group_IT_number 1
_space_group_name_Hall 'P 1'
_cell_length_a 4.4191
_cell_length_b 4.4191
_cell_length_c 7.3397
_cell_angle_alpha 90.00
_cell_angle_beta 90.00
_cell_angle_gamma 90.00
loop_
_atom_site_label
_atom_site_fract_x
_atom_site_fract_y
_atom_site_fract_z
Sm1 0.0000 0.0000 0.0000
Ga1 0.5000 0.5000 0.3323
Ga2 0.5000 0.5000 0.6677
Ni1 0.0000 0.5000 0.2313
Ni2 0.0000 0.5000 0.7687
Ni3 0.5000 0.0000 0.2313
Ni4 0.5000 0.0000 0.7687
Ni5 0.5000 0.5000 0.0000
Sn1 0.0000 0.0000 0.5000
```



[11]
Here is a relaxed structure of ReSnTePb2 from Alexandria. Energies are from PBE.

Summary:
The polymorph energy (0 for the lowest one) comes out at 468 meV/atom. The value obtained for the density of states at the Fermi level is 6.0 states/eV/f.u. The calculation puts the formation energy (no corrections) at 1715 meV/atom. As for the space-group type: No. 123.

```
data_ReSnTePb2
_space_group_name_H-M_alt 'P 1'
_space_group_IT_number 1
_space_group_name_Hall 'P 1'
_cell_length_a 5.9181
_cell_length_b 5.9181
_cell_length_c 5.7372
_cell_angle_alpha 90.00
_cell_angle_beta 90.00
_cell_angle_gamma 90.00
loop_
_atom_site_label
_atom_site_fract_x
_atom_site_fract_y
_atom_site_fract_z
Re1 0.0000 0.0000 0.0000
Sn1 0.5000 0.5000 0.0000
Te1 0.5000 0.5000 0.5000
Pb1 0.0000 0.5000 0.5000
Pb2 0.5000 0.0000 0.5000
```



[12]
Here is a relaxed structure of BaTlSb2 from Alexandria. Energies are from PBE.

Summary:
The polymorph energy (0 for the lowest one) comes out at 95 meV/atom. The value obtained for the density of states at the Fermi level is 1.7 states/eV/f.u. The calculation puts the formation energy (no corrections) at -393 meV/atom. As for the space-group type: No. 65.

```
data_BaTlSb2
_space_group_name_H-M_alt 'P 1'
_space_group_IT_number 1
_space_group_name_Hall 'P 1'
_cell_length_a 6.1986
_cell_length_b 6.1986
_cell_length_c 3.6738
_cell_angle_alpha 90.00
_cell_angle_beta 90.00
_cell_angle_gamma 109.27
loop_
_atom_site_label
_atom_site_fract_x
_atom_site_fract_y
_atom_site_fract_z
Ba1 0.0000 0.0000 0.0000
Tl1 0.5000 0.5000 0.0000
Sb1 0.0000 0.5000 0.5000
Sb2 0.5000 0.0000 0.5000
```